(1)
The following is a DFT calculation (PBE) of a relaxed structure of Dy2TlCo.

Lattice parameters (Å, degrees): 8.6974 8.6974 8.6974 24.72 24.72 24.72
Atoms (fractional coordinates):
Dy 0.2292 0.2292 0.2292
Dy 0.7708 0.7708 0.7708
Tl 0.0000 0.0000 0.0000
Co 0.5000 0.5000 0.5000

Summary:
* spin magnetization: 0.00 μB per formula unit
* SG: R-3m (166)

(2)
The following is a DFT calculation (PBE) of a relaxed structure of Dy2TlCo.

Lattice parameters (Å, degrees): 8.9886 8.9886 5.9874 90.00 90.00 124.94
Atoms (fractional coordinates):
Dy 0.0720 0.4280 0.7500
Dy 0.1248 0.8752 0.7636
Dy 0.3752 0.6248 0.2636
Dy 0.4280 0.0720 0.2500
Dy 0.5720 0.9280 0.7500
Dy 0.6248 0.3752 0.7364
Dy 0.8752 0.1248 0.2364
Dy 0.9280 0.5720 0.2500
Tl 0.2378 0.2378 0.5000
Tl 0.2622 0.2622 0.0000
Tl 0.7378 0.7378 0.0000
Tl 0.7622 0.7622 0.5000
Co 0.0642 0.9358 0.2249
Co 0.4358 0.5642 0.7249
Co 0.5642 0.4358 0.2751
Co 0.9358 0.0642 0.7751

Summary:
* spin magnetization: 0.00 μB per formula unit
* SG: Cmce (64)

(3)
The following is a DFT calculation (PBE) of a relaxed structure of Dy11Tl9Co4.

Lattice parameters (Å, degrees): 13.0632 13.0632 3.6686 90.00 90.00 112.52
Atoms (fractional coordinates):
Dy 0.0000 0.0000 0.0000
Dy 0.0873 0.4190 0.0000
Dy 0.1626 0.8374 0.0000
Dy 0.3139 0.3139 0.0000
Dy 0.3751 0.6249 0.0000
Dy 0.4190 0.0873 0.0000
Dy 0.5810 0.9127 0.0000
Dy 0.6249 0.3751 0.0000
Dy 0.6861 0.6861 0.0000
Dy 0.8374 0.1626 0.0000
Dy 0.9127 0.5810 0.0000
Tl 0.0750 0.2197 0.5000
Tl 0.1547 0.6300 0.5000
Tl 0.2197 0.0750 0.5000
Tl 0.3700 0.8453 0.5000
Tl 0.5000 0.5000 0.5000
Tl 0.6300 0.1547 0.5000
Tl 0.7803 0.9250 0.5000
Tl 0.8453 0.3700 0.5000
Tl 0.9250 0.7803 0.5000
Co 0.2494 0.4502 0.5000
Co 0.4502 0.2494 0.5000
Co 0.5498 0.7506 0.5000
Co 0.7506 0.5498 0.5000

Summary:
* spin magnetization: 0.00 μB per formula unit
* SG: Cmmm (65)

(4)
The following is a DFT calculation (PBE) of a relaxed structure of DyTlCo4.

Lattice parameters (Å, degrees): 5.0178 5.0178 5.0178 60.00 60.00 60.00
Atoms (fractional coordinates):
Dy 0.0000 0.0000 0.0000
Tl 0.7500 0.7500 0.7500
Co 0.3752 0.3752 0.3752
Co 0.3752 0.3752 0.8744
Co 0.3752 0.8744 0.3752
Co 0.8744 0.3752 0.3752

Summary:
* spin magnetization: 4.53 μB per formula unit
* SG: F-43m (216)

(5)
The following is a DFT calculation (PBE) of a relaxed structure of Dy5TlCo.

Lattice parameters (Å, degrees): 6.4515 6.4515 11.2613 107.56 107.56 63.56
Atoms (fractional coordinates):
Dy 0.0127 0.9873 0.7500
Dy 0.0327 0.4000 0.6360
Dy 0.1995 0.5591 0.9550
Dy 0.4000 0.0327 0.1360
Dy 0.4409 0.8005 0.5450
Dy 0.5591 0.1995 0.4550
Dy 0.6000 0.9673 0.8640
Dy 0.8005 0.4409 0.0450
Dy 0.9673 0.6000 0.3640
Dy 0.9873 0.0127 0.2500
Tl 0.4723 0.5277 0.2500
Tl 0.5277 0.4723 0.7500
Co 0.0000 0.0000 0.0000
Co 0.0000 0.0000 0.5000

Summary:
* spin magnetization: 0.00 μB per formula unit
* SG: C2/c (15)

(6)
The following is a DFT calculation (PBE) of a relaxed structure of Dy4Tl2Co.

Lattice parameters (Å, degrees): 6.5317 3.6710 8.8036 90.00 109.32 90.00
Atoms (fractional coordinates):
Dy 0.1221 0.0000 0.2703
Dy 0.3562 0.5000 0.6543
Dy 0.6438 0.5000 0.3457
Dy 0.8779 0.0000 0.7297
Tl 0.2556 0.5000 0.9960
Tl 0.7444 0.5000 0.0040
Co 0.5000 0.0000 0.5000

Summary:
* spin magnetization: 0.00 μB per formula unit
* SG: P2/m (10)

| no. | calculated formation energy (eV per atom) |
| --- | --- |
| 1 | -0.171 |
| 2 | 0.007 |
| 3 | -0.320 |
| 4 | -0.012 |
| 5 | -0.065 |
| 6 | -0.165 |